# 1
Entry from Alexandria: crystalline La6ScHg at its relaxed geometry (PBE-GGA).

Its density of states at the Fermi level is 14.12 states/eV/f.u. The value obtained for the energy of formation from the pure elements is -0.048 eV per atom. As for the crystal system: tetragonal.

It has space group I4/mmm (No. 139), with a = 5.7322 Å, b = 5.7322 Å, c = 16.2111 Å, α = 90.00°, β = 90.00° and γ = 90.00°. The asymmetric unit holds La at (0.0000, 0.0000, 0.2452), La at (0.0000, 0.5000, 0.1075), Sc at (0.0000, 0.0000, 0.0000) and Hg at (0.0000, 0.0000, 0.5000).

***

# 2
Entry from Alexandria: crystalline LaScHg2 at its relaxed geometry (PBE-GGA).

Its density of states at the Fermi level is 6.07 states/eV/f.u. The value obtained for the energy of formation from the pure elements is 0.002 eV per atom. As for the crystal system: tetragonal. The relative energy among the computed polymorphs is 10.520 kcal/mol of atoms.

It has space group I-42d (No. 122), with a = 4.9855 Å, b = 4.9855 Å, c = 19.7923 Å, α = 90.00°, β = 90.00° and γ = 90.00°. The asymmetric unit holds La at (0.0000, 0.0000, 0.0000), Sc at (0.0000, 0.0000, 0.5000) and Hg at (0.1915, 0.2500, 0.6250).

***

# 3
Entry from Alexandria: crystalline La4ScHg at its relaxed geometry (PBE-GGA).

Its density of states at the Fermi level is 9.69 states/eV/f.u. The value obtained for the energy of formation from the pure elements is -0.130 eV per atom. As for the crystal system: tetragonal. The relative energy among the computed polymorphs is 0.000 kcal/mol of atoms.

It has space group P4/mmm (No. 123), with a = 3.7546 Å, b = 3.7546 Å, c = 13.7850 Å, α = 90.00°, β = 90.00° and γ = 90.00°. The asymmetric unit holds La at (0.0000, 0.0000, 0.1512), La at (0.5000, 0.5000, 0.3389), Sc at (0.0000, 0.0000, 0.5000) and Hg at (0.5000, 0.5000, 0.0000).

***

# 4
Entry from Alexandria: crystalline La2ScHg at its relaxed geometry (PBE-GGA).

Its density of states at the Fermi level is 4.92 states/eV/f.u. The value obtained for the energy of formation from the pure elements is -0.158 eV per atom. As for the crystal system: tetragonal.

It has space group I4/mmm (No. 139), with a = 4.7942 Å, b = 4.7942 Å, c = 9.9277 Å, α = 90.00°, β = 90.00° and γ = 90.00°. The asymmetric unit holds La at (0.0000, 0.5000, 0.2500), Sc at (0.0000, 0.0000, 0.0000) and Hg at (0.0000, 0.0000, 0.5000).

***

# 5
Entry from Alexandria: crystalline LaScHg2 at its relaxed geometry (PBE-GGA).

Its density of states at the Fermi level is 4.42 states/eV/f.u. The value obtained for the energy of formation from the pure elements is -0.274 eV per atom. As for the crystal system: orthorhombic. The relative energy among the computed polymorphs is 4.161 kcal/mol of atoms.

It has space group Imm2 (No. 44), with a = 3.6689 Å, b = 5.2175 Å, c = 10.9209 Å, α = 90.00°, β = 90.00° and γ = 90.00°. The asymmetric unit holds La at (0.0000, 0.0000, 0.0000), Sc at (0.0000, 0.5000, 0.7704), Hg at (0.0000, 0.0000, 0.5094) and Hg at (0.0000, 0.5000, 0.2378).

***

# 6
Entry from Alexandria: crystalline La6ScHg2 at its relaxed geometry (PBE-GGA).

Its density of states at the Fermi level is 12.40 states/eV/f.u. The value obtained for the energy of formation from the pure elements is -0.205 eV per atom. As for the crystal system: monoclinic.

It has space group C2/m (No. 12), with a = 13.0643 Å, b = 3.7924 Å, c = 12.1545 Å, α = 90.00°, β = 107.39° and γ = 90.00°. The asymmetric unit holds La at (0.0288, 0.0000, 0.3356), La at (0.1779, 0.5000, 0.8773), La at (0.1939, 0.5000, 0.5986), Sc at (0.0000, 0.0000, 0.0000) and Hg at (0.1306, 0.5000, 0.1712).

***

# 7
Entry from Alexandria: crystalline La2ScHg at its relaxed geometry (PBE-GGA).

Its density of states at the Fermi level is 5.53 states/eV/f.u. The value obtained for the energy of formation from the pure elements is -0.184 eV per atom. As for the crystal system: orthorhombic.

It has space group Cmmm (No. 65), with a = 8.0307 Å, b = 8.0474 Å, c = 3.7028 Å, α = 90.00°, β = 90.00° and γ = 90.00°. The asymmetric unit holds La at (0.2500, 0.2500, 0.0000), Sc at (0.0000, 0.0000, 0.5000) and Hg at (0.0000, 0.5000, 0.5000).

***

# 8
Entry from Alexandria: crystalline LaScHg at its relaxed geometry (PBE-GGA).

Its density of states at the Fermi level is 0.66 states/eV/f.u. The value obtained for the energy of formation from the pure elements is -0.279 eV per atom. As for the crystal system: orthorhombic. The relative energy among the computed polymorphs is 1.425 kcal/mol of atoms.

It has space group Cmcm (No. 63), with a = 5.3925 Å, b = 9.2305 Å, c = 6.7006 Å, α = 90.00°, β = 90.00° and γ = 90.00°. The asymmetric unit holds La at (0.0000, 0.1654, 0.2500), Sc at (0.0000, 0.5000, 0.0000) and Hg at (0.0000, 0.1700, 0.7500).

***

Question: Among the records above, which one has the highest energy of formation from the pure elements?
Answer: number 2

***

Question: What is the energy of formation from the pure elements in the fourth record?
Answer: -0.158 eV per atom

***

Question: Which value of energy of formation from the pure elements does entry 4 give?
Answer: -0.158 eV per atom